{"formula": "Pu3H", "functional": "PBE-GGA", "state": "optimized geometry", "volume_a3_per_atom": 13.31, "polymorph_energy_mev_per_atom": 210.4, "mass_density_g_cm3": 22.87, "space_group": "P6_3/mmc (194)", "lattice_angstrom": [[3.023, -5.235, 0.000], [3.023, 5.235, 0.000], [0.000, 0.000, 3.364]], "species": ["H", "H", "Pu", "Pu", "Pu", "Pu", "Pu", "Pu"], "fractional_positions": [[0.667, 0.333, 0.250], [0.333, 0.667, 0.750], [0.816, 0.632, 0.750], [0.184, 0.816, 0.250], [0.632, 0.816, 0.250], [0.368, 0.184, 0.750], [0.184, 0.368, 0.250], [0.816, 0.184, 0.750]]}